Record 1
# K3TiOs | the Alexandria database | PBE | optimized geometry
data_K3TiOs
_symmetry_space_group_name_H-M 'P m -3 m'
_symmetry_Int_Tables_number 221
_symmetry_space_group_name_Hall '-P 4 2 3'
_cell_length_a 6.106
_cell_length_b 6.106
_cell_length_c 6.106
_cell_angle_alpha 90.00
_cell_angle_beta 90.00
_cell_angle_gamma 90.00
loop_
_atom_site_label
_atom_site_type_symbol
_atom_site_fract_x
_atom_site_fract_y
_atom_site_fract_z
K1 K 0.000 0.000 0.500
Ti1 Ti 0.500 0.500 0.500
Os1 Os 0.000 0.000 0.000
# ρ: 2.6 Mg/m³
# ΔH_f (0 K): 10.341 eV/f.u.
# ΔE to the lowest computed polymorph: 0.0000 eV/atom
# E_tot: -2.42 eV/atom

Record 2
# NaNd2SeO5 | the Alexandria database | PBE | optimized geometry
data_NaNd2SeO5
_symmetry_space_group_name_H-M 'I 4/m c m'
_symmetry_Int_Tables_number 140
_symmetry_space_group_name_Hall '-I 4 2c'
_cell_length_a 6.831
_cell_length_b 6.831
_cell_length_c 12.153
_cell_angle_alpha 90.00
_cell_angle_beta 90.00
_cell_angle_gamma 90.00
loop_
_atom_site_label
_atom_site_type_symbol
_atom_site_fract_x
_atom_site_fract_y
_atom_site_fract_z
Na1 Na 0.000 0.000 0.250
Nd1 Nd 0.175 0.325 0.000
Se1 Se 0.000 0.500 0.250
O1 O 0.000 0.000 0.000
O2 O 0.135 0.365 0.380
# ρ: 5.5 Mg/m³
# energy relative to the elements, uncorrected: -1991 meV/atom
# E_tot: -6.34 eV/atom

Record 3
# YCdSeO5 | the Alexandria database | PBE | optimized geometry
data_YCdSeO5
_symmetry_space_group_name_H-M 'C 1 2/c 1'
_symmetry_Int_Tables_number 15
_symmetry_space_group_name_Hall '-C 2yc'
_cell_length_a 8.261
_cell_length_b 8.860
_cell_length_c 8.336
_cell_angle_alpha 90.00
_cell_angle_beta 119.46
_cell_angle_gamma 90.00
loop_
_atom_site_label
_atom_site_type_symbol
_atom_site_fract_x
_atom_site_fract_y
_atom_site_fract_z
Y1 Y 0.000 0.000 0.000
Cd1 Cd 0.000 0.312 0.250
Se1 Se 0.000 0.337 0.750
O1 O 0.000 0.074 0.250
O2 O 0.031 0.259 0.560
O3 O 0.175 0.471 0.855
# ρ: 4.5 Mg/m³
# energy relative to the elements, uncorrected: -1541 meV/atom
# E_tot: -6.00 eV/atom

Record 4
# Ca2Pr7Sm2 | the Alexandria database | PBE | optimized geometry
data_Ca2Pr7Sm2
_symmetry_space_group_name_H-M 'C 1 2/m 1'
_symmetry_Int_Tables_number 12
_symmetry_space_group_name_Hall '-C 2y'
_cell_length_a 18.344
_cell_length_b 11.987
_cell_length_c 3.735
_cell_angle_alpha 90.00
_cell_angle_beta 90.00
_cell_angle_gamma 90.00
loop_
_atom_site_label
_atom_site_type_symbol
_atom_site_fract_x
_atom_site_fract_y
_atom_site_fract_z
Ca1 Ca 0.232 0.000 0.499
Pr1 Pr 0.000 0.000 0.000
Pr2 Pr 0.094 0.500 0.002
Pr3 Pr 0.161 0.238 0.999
Sm1 Sm 0.000 0.278 0.500
# ρ: 5.5 Mg/m³
# ΔH_f (0 K): 1.625 eV/f.u.
# E_tot: -4.12 eV/atom

Record 5
# CdFeCoSi2 | the Alexandria database | PBE | optimized geometry
data_CdFeCoSi2
_symmetry_space_group_name_H-M 'P 4/m m m'
_symmetry_Int_Tables_number 123
_symmetry_space_group_name_Hall '-P 4 2'
_cell_length_a 4.229
_cell_length_b 4.229
_cell_length_c 4.995
_cell_angle_alpha 90.00
_cell_angle_beta 90.00
_cell_angle_gamma 90.00
loop_
_atom_site_label
_atom_site_type_symbol
_atom_site_fract_x
_atom_site_fract_y
_atom_site_fract_z
Cd1 Cd 0.000 0.000 0.000
Fe1 Fe 0.500 0.500 0.000
Co1 Co 0.000 0.000 0.500
Si1 Si 0.000 0.500 0.500
# ρ: 5.3 Mg/m³
# ΔE to the lowest computed polymorph: 0.1782 eV/atom
# energy relative to the elements, uncorrected: 576 meV/atom
# E_tot: -4.89 eV/atom

Record 6
# CdSb2PS | the Alexandria database | PBE | optimized geometry
data_CdSb2PS
_symmetry_space_group_name_H-M 'P 4/m m m'
_symmetry_Int_Tables_number 123
_symmetry_space_group_name_Hall '-P 4 2'
_cell_length_a 5.328
_cell_length_b 5.328
_cell_length_c 4.430
_cell_angle_alpha 90.00
_cell_angle_beta 90.00
_cell_angle_gamma 90.00
loop_
_atom_site_label
_atom_site_type_symbol
_atom_site_fract_x
_atom_site_fract_y
_atom_site_fract_z
Cd1 Cd 0.000 0.000 0.000
Sb1 Sb 0.000 0.500 0.500
P1 P 0.500 0.500 0.500
S1 S 0.500 0.500 0.000
# ρ: 5.5 Mg/m³
# ΔE to the lowest computed polymorph: 0.0000 eV/atom
# energy relative to the elements, uncorrected: 429 meV/atom
# E_tot: -3.31 eV/atom

Record 7
# CsUOsO6 | the Alexandria database | PBE | optimized geometry
data_CsUOsO6
_symmetry_space_group_name_H-M 'I m m a'
_symmetry_Int_Tables_number 74
_symmetry_space_group_name_Hall '-I 2b 2'
_cell_length_a 7.318
_cell_length_b 7.918
_cell_length_c 10.756
_cell_angle_alpha 90.00
_cell_angle_beta 90.00
_cell_angle_gamma 90.00
loop_
_atom_site_label
_atom_site_type_symbol
_atom_site_fract_x
_atom_site_fract_y
_atom_site_fract_z
Cs1 Cs 0.000 0.250 0.113
U1 U 0.000 0.000 0.500
Os1 Os 0.250 0.250 0.750
O1 O 0.000 0.250 0.425
O2 O 0.000 0.250 0.787
O3 O 0.205 0.074 0.623
# ρ: 7.0 Mg/m³
# energy relative to the elements, uncorrected: -2135 meV/atom
# E_tot: -8.04 eV/atom

Record 8
# GeTeS | the Alexandria database | PBE | optimized geometry
data_GeTeS
_symmetry_space_group_name_H-M 'P 3 m 1'
_symmetry_Int_Tables_number 156
_symmetry_space_group_name_Hall 'P 3 -2"'
_cell_length_a 3.9592
_cell_length_b 3.9592
_cell_length_c 5.0984
_cell_angle_alpha 90.00
_cell_angle_beta 90.00
_cell_angle_gamma 120.00
loop_
_atom_site_label
_atom_site_type_symbol
_atom_site_fract_x
_atom_site_fract_y
_atom_site_fract_z
Ge1 Ge 0.0000 0.0000 0.0000
Te1 Te 0.6667 0.3333 0.3227
S1 S 0.3333 0.6667 0.7275
# ρ: 5.6 Mg/m³
# ΔE to the lowest computed polymorph: 0.1805 eV/atom
# energy relative to the elements, uncorrected: 97 meV/atom
# E_tot: -3.87 eV/atom

Record 9
# Dy3As2O | the Alexandria database | PBE | optimized geometry
data_Dy3As2O
_symmetry_space_group_name_H-M 'C 1 2/c 1'
_symmetry_Int_Tables_number 15
_symmetry_space_group_name_Hall '-C 2yc'
_cell_length_a 12.245
_cell_length_b 5.746
_cell_length_c 7.766
_cell_angle_alpha 90.00
_cell_angle_beta 108.08
_cell_angle_gamma 90.00
loop_
_atom_site_label
_atom_site_type_symbol
_atom_site_fract_x
_atom_site_fract_y
_atom_site_fract_z
Dy1 Dy 0.000 0.057 0.250
Dy2 Dy 0.150 0.497 0.579
As1 As 0.173 0.002 0.085
O1 O 0.000 0.448 0.250
# ρ: 8.4 Mg/m³
# energy relative to the elements, uncorrected: -1841 meV/atom
# E_tot: -6.52 eV/atom

Record 10
# CaAgOs2 | the Alexandria database | PBE | optimized geometry
data_CaAgOs2
_symmetry_space_group_name_H-M 'C 1 m 1'
_symmetry_Int_Tables_number 8
_symmetry_space_group_name_Hall 'C -2y'
_cell_length_a 8.544
_cell_length_b 2.855
_cell_length_c 6.379
_cell_angle_alpha 90.00
_cell_angle_beta 97.42
_cell_angle_gamma 90.00
loop_
_atom_site_label
_atom_site_type_symbol
_atom_site_fract_x
_atom_site_fract_y
_atom_site_fract_z
Ca1 Ca 0.000 0.000 0.000
Ag1 Ag 0.235 0.000 0.705
Os1 Os 0.247 0.500 0.311
Os2 Os 0.491 0.000 0.442
# ρ: 11.4 Mg/m³
# ΔH_f (0 K): 1.981 eV/f.u.
# ΔE to the lowest computed polymorph: 0.1667 eV/atom
# E_tot: -6.33 eV/atom

Record 11
# ZnRhAu2 | the Alexandria database | PBE | optimized geometry
data_ZnRhAu2
_symmetry_space_group_name_H-M 'C 1 m 1'
_symmetry_Int_Tables_number 8
_symmetry_space_group_name_Hall 'C -2y'
_cell_length_a 9.379
_cell_length_b 3.050
_cell_length_c 4.716
_cell_angle_alpha 90.00
_cell_angle_beta 106.89
_cell_angle_gamma 90.00
loop_
_atom_site_label
_atom_site_type_symbol
_atom_site_fract_x
_atom_site_fract_y
_atom_site_fract_z
Zn1 Zn 0.000 0.000 0.000
Rh1 Rh 0.233 0.500 0.218
Au1 Au 0.255 0.000 0.738
Au2 Au 0.492 0.000 0.482
# ρ: 14.5 Mg/m³
# ΔH_f (0 K): -0.308 eV/f.u.
# E_tot: -3.87 eV/atom

Record 12
# FeSiH2 | the Alexandria database | PBE | optimized geometry
data_FeSiH2
_symmetry_space_group_name_H-M 'I -4 2 d'
_symmetry_Int_Tables_number 122
_symmetry_space_group_name_Hall 'I -4 2bw'
_cell_length_a 3.440
_cell_length_b 3.440
_cell_length_c 10.521
_cell_angle_alpha 90.00
_cell_angle_beta 90.00
_cell_angle_gamma 90.00
loop_
_atom_site_label
_atom_site_type_symbol
_atom_site_fract_x
_atom_site_fract_y
_atom_site_fract_z
Fe1 Fe 0.000 0.000 0.000
Si1 Si 0.000 0.000 0.500
H1 H 0.169 0.250 0.125
# ρ: 4.6 Mg/m³
# ΔE to the lowest computed polymorph: 0.0000 eV/atom
# E_tot: -4.73 eV/atom

Record 13
# BaNa2SbSe4 | the Alexandria database | PBE | optimized geometry
data_BaNa2SbSe4
_symmetry_space_group_name_H-M 'I -4 2 m'
_symmetry_Int_Tables_number 121
_symmetry_space_group_name_Hall 'I -4 2'
_cell_length_a 7.757
_cell_length_b 7.757
_cell_length_c 8.396
_cell_angle_alpha 90.00
_cell_angle_beta 90.00
_cell_angle_gamma 90.00
loop_
_atom_site_label
_atom_site_type_symbol
_atom_site_fract_x
_atom_site_fract_y
_atom_site_fract_z
Ba1 Ba 0.000 0.000 0.000
Na1 Na 0.000 0.500 0.250
Sb1 Sb 0.000 0.000 0.500
Se1 Se 0.199 0.199 0.680
# ρ: 4.1 Mg/m³
# energy relative to the elements, uncorrected: -967 meV/atom
# E_tot: -3.80 eV/atom

Record 14
# WSBrN2 | the Alexandria database | PBE | optimized geometry
data_WSBrN2
_symmetry_space_group_name_H-M 'P 4/m m m'
_symmetry_Int_Tables_number 123
_symmetry_space_group_name_Hall '-P 4 2'
_cell_length_a 3.837
_cell_length_b 3.837
_cell_length_c 4.784
_cell_angle_alpha 90.00
_cell_angle_beta 90.00
_cell_angle_gamma 90.00
loop_
_atom_site_label
_atom_site_type_symbol
_atom_site_fract_x
_atom_site_fract_y
_atom_site_fract_z
W1 W 0.000 0.000 0.000
S1 S 0.500 0.500 0.000
Br1 Br 0.500 0.500 0.500
N1 N 0.000 0.500 0.500
# ρ: 7.6 Mg/m³
# ΔE to the lowest computed polymorph: 2.0215 eV/atom
# energy relative to the elements, uncorrected: 2584 meV/atom
# E_tot: -4.50 eV/atom

Record 15
# Pm2Y2Er5 | the Alexandria database | PBE | optimized geometry
data_Pm2Y2Er5
_symmetry_space_group_name_H-M 'I m a 2'
_symmetry_Int_Tables_number 46
_symmetry_space_group_name_Hall 'I 2 -2a'
_cell_length_a 14.890
_cell_length_b 11.775
_cell_length_c 6.692
_cell_angle_alpha 90.00
_cell_angle_beta 90.00
_cell_angle_gamma 90.00
loop_
_atom_site_label
_atom_site_type_symbol
_atom_site_fract_x
_atom_site_fract_y
_atom_site_fract_z
Pm1 Pm 0.000 0.000 0.000
Pm2 Pm 0.250 0.011 0.096
Y1 Y 0.126 0.505 0.047
Er1 Er 0.053 0.742 0.698
Er2 Er 0.142 0.235 0.888
Er3 Er 0.250 0.749 0.390
# ρ: 7.4 Mg/m³
# ΔH_f (0 K): 1.893 eV/f.u.
# ΔE to the lowest computed polymorph: 0.1874 eV/atom
# E_tot: -4.82 eV/atom

Record 16
# CdCoTe2 | the Alexandria database | PBE | optimized geometry
data_CdCoTe2
_symmetry_space_group_name_H-M 'I m m m'
_symmetry_Int_Tables_number 71
_symmetry_space_group_name_Hall '-I 2 2'
_cell_length_a 3.322
_cell_length_b 4.670
_cell_length_c 12.865
_cell_angle_alpha 90.00
_cell_angle_beta 90.00
_cell_angle_gamma 90.00
loop_
_atom_site_label
_atom_site_type_symbol
_atom_site_fract_x
_atom_site_fract_y
_atom_site_fract_z
Cd1 Cd 0.000 0.000 0.000
Co1 Co 0.000 0.000 0.500
Te1 Te 0.000 0.500 0.150
# ρ: 7.1 Mg/m³
# energy relative to the elements, uncorrected: -2 meV/atom
# E_tot: -3.58 eV/atom